Record 1
Below is crystalline Ca10VP5O24F2 at its relaxed geometry, with properties calculated at the PBEsol level.

Output
The calculation puts the formation energy (no corrections) at -3.026 eV per atom. The energy comes out at -7.544 eV per atom. The density is 3.25 g/cm3. The total magnetization comes out at 0.00 μB/atom. Its density of states at the Fermi level is 0.00 states/eV per cell. The symmetry is Pm.

Lattice parameters (Å, degrees): 9.3839 6.8620 9.3942 90.00 119.64 90.00
Positions (direct):
Ca  0.0000  0.0000  0.0000
Ca  0.0014  0.5000  0.2422
Ca  0.2437  0.0000  0.4924
Ca  0.2442  0.5000  0.9981
Ca  0.4828  0.0000  0.2452
Ca  0.4854  0.5000  0.4977
Ca  0.5762  0.2504  0.9077
Ca  0.5762  0.7496  0.9077
Ca  0.9139  0.2482  0.5824
Ca  0.9139  0.7518  0.5824
V  0.6418  0.5000  0.2762
P  0.2163  0.5000  0.6119
P  0.2732  0.0000  0.8779
P  0.6168  0.0000  0.6492
P  0.8441  0.0000  0.2162
P  0.8747  0.5000  0.8457
O  0.0863  0.0000  0.7598
O  0.1251  0.5000  0.7123
O  0.1619  0.3181  0.4997
O  0.1619  0.6819  0.4997
O  0.3268  0.1810  0.9909
O  0.3268  0.8190  0.9909
O  0.3679  0.0000  0.7811
O  0.4042  0.5000  0.7250
O  0.5034  0.1810  0.5943
O  0.5034  0.8190  0.5943
O  0.5562  0.5000  0.0678
O  0.5795  0.3051  0.3421
O  0.5795  0.6949  0.3421
O  0.6531  0.0000  0.1241
O  0.7135  0.0000  0.8401
O  0.7351  0.0000  0.5801
O  0.7581  0.5000  0.9174
O  0.7776  0.5000  0.6551
O  0.8522  0.5000  0.3809
O  0.9011  0.1819  0.1600
O  0.9011  0.8181  0.1600
O  0.9161  0.0000  0.4041
O  0.9878  0.3185  0.9025
O  0.9878  0.6815  0.9025
F  0.2405  0.0000  0.2473
F  0.2468  0.5000  0.2447

=====

Record 2
Below is crystalline CaPtO2F at its relaxed geometry, with properties calculated at the PBEsol level.

Output
The calculation puts the formation energy (no corrections) at -0.331 eV per atom. The energy comes out at -4.635 eV per atom. The density is 6.22 g/cm3. The total magnetization comes out at 0.61 μB/atom. Its density of states at the Fermi level is 5.04 states/eV per cell. The symmetry is P4/mmm.

Lattice parameters (Å, degrees): 4.3264 4.3264 4.0790 90.00 90.00 90.00
Positions (direct):
Ca  0.0000  0.0000  0.0000
Pt  0.5000  0.5000  0.5000
O  0.0000  0.5000  0.0000
O  0.5000  0.0000  0.0000
F  0.0000  0.0000  0.5000

=====

Record 3
Below is crystalline RbCaOF2 at its relaxed geometry, with properties calculated at the PBEsol level.

Output
The calculation puts the formation energy (no corrections) at -1.566 eV per atom. The energy comes out at -4.018 eV per atom. The density is 3.01 g/cm3. The total magnetization comes out at 0.04 μB/atom. Its density of states at the Fermi level is 0.29 states/eV per cell. The symmetry is P4/mmm.

Lattice parameters (Å, degrees): 4.7570 4.7570 4.3830 90.00 90.00 90.00
Positions (direct):
Rb  0.0000  0.0000  0.0000
Ca  0.5000  0.5000  0.5000
O  0.0000  0.0000  0.5000
F  0.0000  0.5000  0.0000
F  0.5000  0.0000  0.0000

=====

Record 4
Below is crystalline CaSiOF2 at its relaxed geometry, with properties calculated at the PBEsol level.

Output
The calculation puts the formation energy (no corrections) at -1.693 eV per atom. The energy comes out at -5.090 eV per atom. The density is 2.60 g/cm3. The total magnetization comes out at 0.00 μB/atom. The symmetry is P4/mmm.

Lattice parameters (Å, degrees): 4.1341 4.1341 4.5584 90.00 90.00 90.00
Positions (direct):
Ca  0.0000  0.0000  0.0000
Si  0.5000  0.5000  0.5000
O  0.0000  0.0000  0.5000
F  0.0000  0.5000  0.0000
F  0.5000  0.0000  0.0000

=====

Record 5
Below is crystalline CaSiO2F at its relaxed geometry, with properties calculated at the PBEsol level.

Output
The calculation puts the formation energy (no corrections) at -0.976 eV per atom. The energy comes out at -5.037 eV per atom. The density is 2.61 g/cm3. The total magnetization comes out at 0.20 μB/atom. Its density of states at the Fermi level is 2.13 states/eV per cell. The symmetry is P4/mmm.

Lattice parameters (Å, degrees): 4.2740 4.2740 4.1428 90.00 90.00 90.00
Positions (direct):
Ca  0.0000  0.0000  0.0000
Si  0.5000  0.5000  0.5000
O  0.0000  0.5000  0.0000
O  0.5000  0.0000  0.0000
F  0.0000  0.0000  0.5000

=====

Record 6
Below is crystalline CaSnOF2 at its relaxed geometry, with properties calculated at the PBEsol level.

Output
The calculation puts the formation energy (no corrections) at -1.942 eV per atom. The energy comes out at -5.041 eV per atom. The density is 4.00 g/cm3. The total magnetization comes out at 0.01 μB/atom. Its density of states at the Fermi level is 1.51 states/eV per cell. The symmetry is P4/mmm.

Lattice parameters (Å, degrees): 4.4857 4.4857 4.3939 90.00 90.00 90.00
Positions (direct):
Ca  0.0000  0.0000  0.0000
Sn  0.5000  0.5000  0.5000
O  0.5000  0.5000  0.0000
F  0.0000  0.5000  0.5000
F  0.5000  0.0000  0.5000

=====

Record 7
Below is crystalline SrCaO2F at its relaxed geometry, with properties calculated at the PBEsol level.

Output
The calculation puts the formation energy (no corrections) at -2.057 eV per atom. The energy comes out at -5.337 eV per atom. The density is 3.27 g/cm3. The total magnetization comes out at 0.20 μB/atom. Its density of states at the Fermi level is 0.98 states/eV per cell. The symmetry is P4/mmm.

Lattice parameters (Å, degrees): 4.5118 4.5118 4.4556 90.00 90.00 90.00
Positions (direct):
Sr  0.0000  0.0000  0.0000
Ca  0.5000  0.5000  0.5000
O  0.0000  0.5000  0.0000
O  0.5000  0.0000  0.0000
F  0.0000  0.0000  0.5000

=====

Record 8
Below is crystalline Ca2Ta2O6F at its relaxed geometry, with properties calculated at the PBEsol level.

Output
The calculation puts the formation energy (no corrections) at -3.066 eV per atom. The energy comes out at -8.774 eV per atom. The density is 6.82 g/cm3. The total magnetization comes out at 0.00 μB/atom. Its density of states at the Fermi level is 4.53 states/eV per cell. The symmetry is Fd-3m.

Lattice parameters (Å, degrees): 7.2676 7.2676 7.2676 60.00 60.00 60.00
Positions (direct):
Ca  0.0000  0.0000  0.0000
Ca  0.0000  0.0000  0.5000
Ca  0.0000  0.5000  0.0000
Ca  0.5000  0.0000  0.0000
Ta  0.0000  0.5000  0.5000
Ta  0.5000  0.0000  0.5000
Ta  0.5000  0.5000  0.0000
Ta  0.5000  0.5000  0.5000
O  0.1639  0.1639  0.5861
O  0.1639  0.5861  0.1639
O  0.1639  0.5861  0.5861
O  0.4139  0.4139  0.8361
O  0.4139  0.8361  0.4139
O  0.4139  0.8361  0.8361
O  0.5861  0.1639  0.1639
O  0.5861  0.1639  0.5861
O  0.5861  0.5861  0.1639
O  0.8361  0.4139  0.4139
O  0.8361  0.4139  0.8361
O  0.8361  0.8361  0.4139
F  0.1250  0.1250  0.1250
F  0.8750  0.8750  0.8750

=====

Record 9
Below is crystalline Ca3Ta4O12F2 at its relaxed geometry, with properties calculated at the PBEsol level.

Output
The calculation puts the formation energy (no corrections) at -3.151 eV per atom. The energy comes out at -9.030 eV per atom. The density is 6.31 g/cm3. The total magnetization comes out at 0.00 μB/atom. Its density of states at the Fermi level is 0.00 states/eV per cell. The symmetry is R-3m.

Lattice parameters (Å, degrees): 7.3160 7.3160 7.3160 60.94 60.94 60.94
Positions (direct):
Ca  0.0000  0.5000  0.5000
Ca  0.5000  0.0000  0.5000
Ca  0.5000  0.5000  0.0000
Ta  0.0000  0.0000  0.0000
Ta  0.0000  0.0000  0.5000
Ta  0.0000  0.5000  0.0000
Ta  0.5000  0.0000  0.0000
O  0.0561  0.6849  0.6849
O  0.0722  0.0722  0.6808
O  0.0722  0.6808  0.0722
O  0.3151  0.3151  0.9439
O  0.3151  0.9439  0.3151
O  0.3192  0.9278  0.9278
O  0.6808  0.0722  0.0722
O  0.6849  0.0561  0.6849
O  0.6849  0.6849  0.0561
O  0.9278  0.3192  0.9278
O  0.9278  0.9278  0.3192
O  0.9439  0.3151  0.3151
F  0.3616  0.3616  0.3616
F  0.6384  0.6384  0.6384

=====

Record 10
Below is crystalline Ca3Ta4O12F2 at its relaxed geometry, with properties calculated at the PBEsol level.

Output
The calculation puts the formation energy (no corrections) at -3.169 eV per atom. The energy comes out at -9.047 eV per atom. The density is 6.29 g/cm3. The total magnetization comes out at 0.00 μB/atom. Its density of states at the Fermi level is 0.00 states/eV per cell. The symmetry is P4_332.

Lattice parameters (Å, degrees): 10.4291 10.4291 10.4291 90.00 90.00 90.00
Positions (direct):
Ca  0.1130  0.3750  0.3630
Ca  0.1250  0.6370  0.6130
Ca  0.1370  0.8870  0.8750
Ca  0.3630  0.1130  0.3750
Ca  0.3750  0.3630  0.1130
Ca  0.3870  0.6250  0.8630
Ca  0.6130  0.1250  0.6370
Ca  0.6250  0.8630  0.3870
Ca  0.6370  0.6130  0.1250
Ca  0.8630  0.3870  0.6250
Ca  0.8750  0.1370  0.8870
Ca  0.8870  0.8750  0.1370
Ta  0.1236  0.1264  0.6250
Ta  0.1250  0.3764  0.8736
Ta  0.1250  0.8750  0.3750
Ta  0.1264  0.6250  0.1236
Ta  0.3736  0.3750  0.6236
Ta  0.3750  0.1250  0.8750
Ta  0.3750  0.6236  0.3736
Ta  0.3764  0.8736  0.1250
Ta  0.6236  0.3736  0.3750
Ta  0.6250  0.1236  0.1264
Ta  0.6250  0.6250  0.6250
Ta  0.6264  0.8750  0.8764
Ta  0.8736  0.1250  0.3764
Ta  0.8750  0.3750  0.1250
Ta  0.8750  0.8764  0.6264
Ta  0.8764  0.6264  0.8750
O  0.0016  0.5041  0.8029
O  0.0041  0.6971  0.9984
O  0.0077  0.8120  0.5096
O  0.0096  0.4923  0.1880
O  0.0529  0.2541  0.7484
O  0.0620  0.7577  0.2404
O  0.1880  0.0096  0.4923
O  0.1971  0.5016  0.9959
O  0.2404  0.0620  0.7577
O  0.2423  0.7404  0.4380
O  0.2459  0.2516  0.5529
O  0.2484  0.4471  0.7459
O  0.2516  0.5529  0.2459
O  0.2541  0.7484  0.0529
O  0.2577  0.2596  0.9380
O  0.2596  0.9380  0.2577
O  0.3029  0.4984  0.4959
O  0.3120  0.9904  0.9923
O  0.4380  0.2423  0.7404
O  0.4471  0.7459  0.2484
O  0.4904  0.5077  0.6880
O  0.4923  0.1880  0.0096
O  0.4959  0.3029  0.4984
O  0.4984  0.4959  0.3029
O  0.5016  0.9959  0.1971
O  0.5041  0.8029  0.0016
O  0.5077  0.6880  0.4904
O  0.5096  0.0077  0.8120
O  0.5529  0.2459  0.2516
O  0.5620  0.7423  0.7596
O  0.6880  0.4904  0.5077
O  0.6971  0.9984  0.0041
O  0.7404  0.4380  0.2423
O  0.7423  0.7596  0.5620
O  0.7459  0.2484  0.4471
O  0.7484  0.0529  0.2541
O  0.7516  0.9471  0.7541
O  0.7541  0.7516  0.9471
O  0.7577  0.2404  0.0620
O  0.7596  0.5620  0.7423
O  0.8029  0.0016  0.5041
O  0.8120  0.5096  0.0077
O  0.9380  0.2577  0.2596
O  0.9471  0.7541  0.7516
O  0.9904  0.9923  0.3120
O  0.9923  0.3120  0.9904
O  0.9959  0.1971  0.5016
O  0.9984  0.0041  0.6971
F  0.0120  0.4880  0.5120
F  0.2380  0.7380  0.7620
F  0.2620  0.2620  0.2620
F  0.4880  0.5120  0.0120
F  0.5120  0.0120  0.4880
F  0.7380  0.7620  0.2380
F  0.7620  0.2380  0.7380
F  0.9880  0.9880  0.9880

=====

- Look up the energy of the tenth one.
  -9.047 eV per atom